# 1
Here is crystalline Li2ReTc at its relaxed geometry from the Alexandria database. Energies are from PBE.

Cell lengths 8.8829, 2.5184, 5.2566 Å; angles 90.00, 91.82, 90.00 degrees
With the nearest neighbours (Å) after each atom.
Space group Cm (No. 8)
Unique sites:
Li: 0.0000 0.0000 0.0000  3 Li 2.50-2.52, 1 Re 2.78
Li: 0.2456 0.0000 0.7820  3 Li 2.50-2.52, 1 Tc 2.78
Re: 0.2434 0.5000 0.2903  1 Tc 2.42, 2 Re 2.52
Tc: 0.0006 0.5000 0.4873  1 Re 2.42, 2 Tc 2.52

- relative energy among the computed polymorphs (eV per formula unit) = 0.250
- VASP energy (eV per formula unit) = -25.6

---

# 2
Here is crystalline LiRe2Tc at its relaxed geometry from the Alexandria database. Energies are from PBE.

Cell lengths 8.6713, 2.6900, 4.9197 Å; angles 90.00, 94.48, 90.00 degrees
With the nearest neighbours (Å) after each atom.
Space group Cm (No. 8)
Unique sites:
Li: 0.0000 0.0000 0.0000  3 Tc 2.51-2.76, 7 Re 2.53-2.81, 2 Li 2.69
Re: 0.2467 0.0000 0.7558  3 Li 2.53-2.77, 5 Re 2.61-2.75, 2 Tc 2.72
Re: 0.4994 0.0000 0.4995  5 Re 2.61-2.75, 3 Tc 2.65-2.75, 4 Li 2.80-2.81
Tc: 0.2545 0.5000 0.2372  3 Li 2.51-2.76, 5 Re 2.65-2.75, 2 Tc 2.69

- relative energy among the computed polymorphs (eV per formula unit) = 0.496
- VASP energy (eV per formula unit) = -36.0

---

# 3
Here is crystalline LiRe2Tc at its relaxed geometry from the Alexandria database. Energies are from PBE.

Cell lengths 3.0427, 4.3541, 8.5374 Å; angles 90.00, 90.00, 90.00 degrees
With the nearest neighbours (Å) after each atom.
Space group Imm2 (No. 44)
Unique sites:
Li: 0.0000 0.0000 0.0000  2 Tc 2.66, 6 Re 2.66-2.67
Re: 0.0000 0.0000 0.5005  2 Re 2.57, 2 Tc 2.58, 4 Li 2.66
Re: 0.0000 0.5000 0.7576  2 Re 2.57, 4 Tc 2.66, 2 Li 2.67
Tc: 0.0000 0.5000 0.2451  6 Re 2.58-2.66, 2 Li 2.66

- relative energy among the computed polymorphs (eV per formula unit) = 0.238
- VASP energy (eV per formula unit) = -36.3

---

# 4
Here is crystalline LiRe2Tc at its relaxed geometry from the Alexandria database. Energies are from PBE.

Cell lengths 2.7356, 2.7356, 27.6565 Å; angles 90.00, 90.00, 120.00 degrees
With the nearest neighbours (Å) after each atom.
Space group R-3m (No. 166, hexagonal axes)
Unique sites:
Li: 0.0000 0.0000 0.0000  6 Li 2.74, 6 Re 2.87
Re: 0.0000 0.0000 0.2466  3 Tc 2.72, 6 Re 2.74, 3 Li 2.87
Tc: 0.0000 0.0000 0.5000  6 Re 2.72, 6 Tc 2.74

- relative energy among the computed polymorphs (eV per formula unit) = 0.020
- VASP energy (eV per formula unit) = -36.5

---

# 5
Here is crystalline LiReTc4 at its relaxed geometry from the Alexandria database. Energies are from PBE.

Cell lengths 7.1617, 7.1617, 7.1617 Å; angles 90.00, 90.00, 90.00 degrees
With the nearest neighbours (Å) after each atom.
Space group F-43m (No. 216)
Unique sites:
Li: 0.0000 0.0000 0.0000  12 Tc 2.97, 4 Re 3.10
Re: 0.2500 0.2500 0.7500  12 Tc 2.97, 4 Li 3.10
Tc: 0.1257 0.1257 0.3743  6 Tc 2.52-2.55

- VASP energy (eV per formula unit) = -53.6

---

# 6
Here is crystalline LiRe2Tc at its relaxed geometry from the Alexandria database. Energies are from PBE.

Cell lengths 7.1056, 7.1056, 5.1266 Å; angles 90.00, 90.00, 90.00 degrees
With the nearest neighbours (Å) after each atom.
Space group I-42d (No. 122)
Unique sites:
Li: 0.0000 0.0000 0.0000  2 Tc 2.56, 4 Re 2.75
Re: 0.2185 0.2500 0.6250  2 Tc 2.44, 2 Re 2.60
Tc: 0.0000 0.0000 0.5000  4 Re 2.44, 2 Li 2.56

- relative energy among the computed polymorphs (eV per formula unit) = 2.838
- VASP energy (eV per formula unit) = -33.7

---

ΔE_f across the listed records, respectively: 99 114 89 68 215 340 kJ/mol of formula units.